# PBE-GGA Tc2SbN, optimized geometry
data_Tc2SbN
_symmetry_space_group_name_H-M 'F m -3 m'
_symmetry_Int_Tables_number 225
_symmetry_space_group_name_Hall '-F 4 2 3'
_cell_length_a 6.132
_cell_length_b 6.132
_cell_length_c 6.132
_cell_angle_alpha 90.00
_cell_angle_beta 90.00
_cell_angle_gamma 90.00
loop_
_atom_site_label
_atom_site_type_symbol
_atom_site_fract_x
_atom_site_fract_y
_atom_site_fract_z
_atom_site_occupancy
Tc1 Tc 0.250 0.250 0.250 1
Sb1 Sb 0.000 0.000 0.000 1
N1 N 0.000 0.000 0.500 1
# Total magnetization, μB per formula unit: 0.000
# Electronic total energy, eV per atom: -7.237
# Mass density, kg/m3: 9558
# N(E_F), states/eV/cell: 18.6
# Energy relative to the elements, uncorrected, eV per atom: 1.058

# PBE-GGA TcSbN2, optimized geometry
data_TcSbN2
_symmetry_space_group_name_H-M 'I -4 2 d'
_symmetry_Int_Tables_number 122
_symmetry_space_group_name_Hall 'I -4 2bw'
_cell_length_a 5.215
_cell_length_b 5.215
_cell_length_c 9.190
_cell_angle_alpha 90.00
_cell_angle_beta 90.00
_cell_angle_gamma 90.00
loop_
_atom_site_label
_atom_site_type_symbol
_atom_site_fract_x
_atom_site_fract_y
_atom_site_fract_z
_atom_site_occupancy
Tc1 Tc 0.000 0.000 0.000 1
Sb1 Sb 0.000 0.000 0.500 1
N1 N 0.158 0.250 0.125 1
# Total magnetization, μB per formula unit: 0.000
# Electronic total energy, eV per atom: -7.277
# Mass density, kg/m3: 6584
# N(E_F), states/eV/cell: 7.1
# Energy relative to the elements, uncorrected, eV per atom: 0.508

# PBE-GGA TcSb3N, optimized geometry
data_TcSb3N
_symmetry_space_group_name_H-M 'P m -3 m'
_symmetry_Int_Tables_number 221
_symmetry_space_group_name_Hall '-P 4 2 3'
_cell_length_a 4.639
_cell_length_b 4.639
_cell_length_c 4.639
_cell_angle_alpha 90.00
_cell_angle_beta 90.00
_cell_angle_gamma 90.00
loop_
_atom_site_label
_atom_site_type_symbol
_atom_site_fract_x
_atom_site_fract_y
_atom_site_fract_z
_atom_site_occupancy
Tc1 Tc 0.000 0.000 0.000 1
Sb1 Sb 0.000 0.500 0.500 1
N1 N 0.500 0.500 0.500 1
# Total magnetization, μB per formula unit: 2.433
# Electronic total energy, eV per atom: -5.332
# Mass density, kg/m3: 7938
# N(E_F), states/eV/cell: 3.3
# Energy relative to the elements, uncorrected, eV per atom: 0.880

# PBE-GGA Tc2SbN, optimized geometry
data_Tc2SbN
_symmetry_space_group_name_H-M 'I -4 2 d'
_symmetry_Int_Tables_number 122
_symmetry_space_group_name_Hall 'I -4 2bw'
_cell_length_a 5.453
_cell_length_b 5.453
_cell_length_c 9.351
_cell_angle_alpha 90.00
_cell_angle_beta 90.00
_cell_angle_gamma 90.00
loop_
_atom_site_label
_atom_site_type_symbol
_atom_site_fract_x
_atom_site_fract_y
_atom_site_fract_z
_atom_site_occupancy
Tc1 Tc 0.135 0.250 0.125 1
Sb1 Sb 0.000 0.000 0.500 1
N1 N 0.000 0.000 0.000 1
# Total magnetization, μB per formula unit: 0.000
# Electronic total energy, eV per atom: -7.996
# Mass density, kg/m3: 7925
# N(E_F), states/eV/cell: 11.2
# Energy relative to the elements, uncorrected, eV per atom: 0.299

The lowest mass density belongs to which entry? TcSbN2